(1)
DFT (PBE-GGA) results for crystalline Ac2ReN7 at its relaxed geometry.

Values from the calculation:
* N(E_F): 0.72 states/eV per atom
* total energy: -7.373 eV/atom
* spin magnetization: 0.000 μB per atom
* symmetry: Fm-3m (225)

abc: 5.6411 5.6411 5.6411
angles: 60.00 60.00 60.00
Closest atoms and distances in Å follow each position.
Atoms (fractional coordinates):
Ac  0.2500  0.2500  0.2500  12 N 2.82
Ac  0.7500  0.7500  0.7500  12 N 2.82
Re  0.0000  0.0000  0.0000  6 N 1.98
N  0.2480  0.2480  0.7520  1 Re 1.98, 1 N 2.01
N  0.2480  0.7520  0.2480  1 Re 1.98, 1 N 2.01
N  0.2480  0.7520  0.7520  1 Re 1.98, 1 N 2.01
N  0.5000  0.5000  0.5000  6 N 2.01
N  0.7520  0.2480  0.2480  1 Re 1.98, 1 N 2.01
N  0.7520  0.2480  0.7520  1 Re 1.98, 1 N 2.01
N  0.7520  0.7520  0.2480  1 Re 1.98, 1 N 2.01

(2)
DFT (PBE-GGA) results for crystalline MgMn2Cr at its relaxed geometry.

Values from the calculation:
* N(E_F): 0.68 states/eV per atom
* calculated formation energy: 0.27 eV/atom
* spin magnetization: 0.758 μB per atom
* symmetry: Imm2 (44)

abc: 2.9951 4.2951 8.6998
angles: 90.00 90.00 90.00
Closest atoms and distances in Å follow each position.
Atoms (fractional coordinates):
Mg  0.0000  0.0000  0.0000  6 Mn 2.63-2.76, 2 Cr 2.75
Mg  0.5000  0.5000  0.5000  6 Mn 2.63-2.76, 2 Cr 2.75
Mn  0.0000  0.0000  0.4712  2 Cr 2.34
Mn  0.0000  0.5000  0.2339  4 Cr 2.63, 2 Mn 2.73, 2 Mg 2.76
Mn  0.5000  0.0000  0.7339  4 Cr 2.63, 2 Mn 2.73, 2 Mg 2.76
Mn  0.5000  0.5000  0.9712  2 Cr 2.34
Cr  0.0000  0.5000  0.7649  2 Mn 2.34
Cr  0.5000  0.0000  0.2649  2 Mn 2.34